Compound: Pr5Dy4Tm
Source: Alexandria via LeMat-Bulk
Functional: PBE
Structure: optimized geometry

The value obtained for the formation energy is 0.02 eV/atom. For the calculated total energy, the calculation gives -4.66 eV/atom. The relative energy among the computed polymorphs is 2 meV per atom. The value obtained for the total magnetic moment is 0.000 μB per atom.

It has space group P-1 (No. 2), with a = 3.624 Å, b = 9.563 Å, c = 10.265 Å, α = 74.28°, β = 89.95° and γ = 79.13°. Symmetry generates all atoms from Pr at (0.000, 0.000, 0.000), Pr at (0.200, 0.600, 0.100), Pr at (0.401, 0.199, 0.694), Dy at (0.199, 0.601, 0.600), Dy at (0.400, 0.201, 0.206) and Tm at (0.000, 0.000, 0.500).